[1]
## TaCd2Ga (PBE)

Data for a geometry-optimized TaCd2Ga structure.

abc: 6.088 6.088 6.088
angles: 101.90 101.90 126.00
Fractional positions:
Ta (0.000, 0.000, 0.000)
Ta (0.750, 0.250, 0.500)
Cd (0.148, 0.625, 0.023)
Cd (0.375, 0.398, 0.523)
Cd (0.602, 0.125, 0.977)
Cd (0.875, 0.852, 0.477)
Ga (0.250, 0.750, 0.500)
Ga (0.500, 0.500, 0.000)

Results
symmetry = No. 122


[2]
## ZnW (PBE)

Data for a geometry-optimized ZnW structure.

abc: 9.343 9.343 2.634
angles: 90.00 90.00 120.00
Fractional positions:
Zn (0.049, 0.275, 0.250)
Zn (0.227, 0.951, 0.250)
Zn (0.275, 0.227, 0.750)
Zn (0.725, 0.773, 0.250)
Zn (0.773, 0.049, 0.750)
Zn (0.951, 0.725, 0.750)
W (0.148, 0.619, 0.250)
W (0.381, 0.529, 0.250)
W (0.471, 0.852, 0.250)
W (0.529, 0.148, 0.750)
W (0.619, 0.471, 0.750)
W (0.852, 0.381, 0.750)

Results
E above lowest polymorph = 342 meV per atom
symmetry = No. 176


| no. | E_tot (eV/atom) | volume (Å³ per atom) |
| --- | --- | --- |
| 1 | -3.658 | 20.33 |
| 2 | -6.609 | 16.59 |